Entry 1:
4
Lattice="3.711 0.000 0.000 0.000 3.711 0.000 0.000 0.000 9.059" Properties=species:S:1:pos:R:3 comment="Eu2HoZn PBE relaxed" delta_e_f_ev_per_atom=-0.05 e_above_lowest_polymorph_mev_per_atom=0 pbc="T T T"
Zn 1.855 1.855 0.000
Ho 1.855 1.855 4.529
Eu 0.000 0.000 1.873
Eu 0.000 0.000 7.186

Entry 2:
5
Lattice="5.149 0.000 0.000 2.574 4.459 0.000 2.574 1.486 6.153" Properties=species:S:1:pos:R:3 comment="Y2Tl3 PBE relaxed" delta_e_f_ev_per_atom=-0.25 e_above_lowest_polymorph_mev_per_atom=62 pbc="T T T"
Y 5.149 2.973 4.989
Y 5.149 2.973 1.164
Tl 2.574 1.486 2.494
Tl 0.000 0.000 0.000
Tl 7.723 4.459 3.658

Entry 3:
18
Lattice="7.473 0.226 2.190 -1.899 9.539 5.494 -0.208 0.807 9.883" Properties=species:S:1:pos:R:3 comment="K3Tl4Sn2 PBE relaxed" delta_e_f_ev_per_atom=-0.11 e_above_lowest_polymorph_mev_per_atom=17 pbc="T T T"
Tl 2.198 8.473 11.687
Tl 3.990 3.983 11.005
Tl 6.144 1.520 4.671
Tl -0.778 9.053 12.896
Tl 1.376 6.590 6.561
Tl -1.049 5.903 9.177
Tl 6.415 4.670 8.390
Tl 3.168 2.100 5.880
K 4.605 5.193 4.536
K 4.864 7.835 8.486
K 0.762 5.380 13.031
K 0.503 2.738 9.080
K 4.624 0.916 9.061
K 0.742 9.657 8.506
Sn 3.463 4.483 7.790
Sn 0.231 1.833 5.234
Sn 5.135 8.740 12.332
Sn 1.904 6.090 9.777

Entry 4:
5
Lattice="-1.580 -3.590 -0.010 1.603 -0.716 3.695 -3.244 1.423 1.683" Properties=species:S:1:pos:R:3 comment="CaBeVN2 PBE relaxed" formation_energy_uncorrected_ev_per_atom=0.02 pbc="T T T"
N -1.622 0.712 0.842
N -0.790 -1.795 -0.005
V 0.000 0.000 0.000
Ca -1.611 -1.441 2.684
Be 0.801 -0.358 1.847

Entry 5:
8
Lattice="-2.521 3.424 1.326 -3.050 -2.848 1.557 2.327 0.222 11.333" Properties=species:S:1:pos:R:3 comment="Tl2InAg PBE relaxed" delta_e_f_ev_per_atom=0.17 e_above_lowest_polymorph_mev_per_atom=123 pbc="T T T"
Ag -2.786 0.288 1.442
Ag -1.754 -1.169 7.166
In -1.490 1.967 7.050
In 0.000 0.000 0.000
Tl -1.656 -1.275 3.981
Tl -1.359 1.818 3.848
Tl -0.364 0.365 9.591
Tl -3.110 0.689 11.013

Entry 6:
12
Lattice="3.883 0.000 0.000 -1.941 6.684 0.016 0.000 -1.931 7.524" Properties=species:S:1:pos:R:3 comment="KHoReN3 PBE relaxed" formation_energy_uncorrected_ev_per_atom=-0.57 pbc="T T T"
N 0.000 1.426 2.869
N 1.941 3.328 4.670
N 0.000 5.240 5.083
N 1.941 -0.487 2.457
N 1.941 4.435 1.633
N 0.000 0.318 5.906
Re 0.000 -0.601 2.473
Re 1.941 5.354 5.067
K 1.941 1.793 0.530
K 0.000 2.960 7.010
Ho 1.941 1.063 4.312
Ho 0.000 3.690 3.228

Entry 7:
6
Lattice="3.947 -7.557 0.000 3.947 7.557 0.000 0.000 0.000 3.610" Properties=species:S:1:pos:R:3 comment="AsBr2 PBE relaxed" e_above_lowest_polymorph_mev_per_atom=142 formation_energy_uncorrected_ev_per_atom=-0.13 pbc="T T T"
Br 5.987 -1.871 2.707
Br 1.906 -1.871 0.902
Br 1.906 1.871 0.902
Br 5.987 1.871 2.707
As 6.608 0.000 0.902
As 1.285 0.000 2.707

Entry 8:
8
Lattice="4.844 0.000 0.000 0.000 4.844 0.000 2.422 2.422 11.192" Properties=species:S:1:pos:R:3 comment="RbZr2In PBE relaxed" delta_e_f_ev_per_atom=0.89 pbc="T T T"
Zr 0.617 3.633 2.798
Zr 6.055 6.650 8.394
Zr 3.633 3.039 8.394
Zr 4.228 1.211 2.798
In 0.000 0.000 0.000
In 4.844 2.422 5.596
Rb 2.422 2.422 0.000
Rb 2.422 4.844 5.596

Entry 9:
5
Lattice="5.210 0.000 0.000 0.000 4.768 0.000 0.000 0.000 5.210" Properties=species:S:1:pos:R:3 comment="YHf2GaAg PBE relaxed" delta_e_f_ev_per_atom=0.68 pbc="T T T"
Hf 2.605 0.000 0.000
Hf 0.000 0.000 2.605
Y 2.605 2.384 2.605
Ga 0.000 2.384 0.000
Ag 0.000 0.000 0.000

Entry 10:
4
Lattice="-0.938 -5.247 0.381 3.623 -3.204 2.273 -0.995 -2.198 4.769" Properties=species:S:1:pos:R:3 comment="La2AlHg PBE relaxed" delta_e_f_ev_per_atom=-0.01 e_above_lowest_polymorph_mev_per_atom=432 pbc="T T T"
Hg 1.268 -7.987 5.567
Al 0.845 -5.325 3.711
La 0.423 -2.662 1.856
La 0.000 0.000 0.000

Entry 11:
5
Lattice="-3.642 -0.801 2.178 -0.446 -5.087 -2.617 2.296 -1.830 3.166" Properties=species:S:1:pos:R:3 comment="CdAg2HgO PBE relaxed" formation_energy_uncorrected_ev_per_atom=0.05 pbc="T T T"
Ag -1.821 -0.400 1.089
Ag 1.148 -0.915 1.583
Hg -0.223 -2.544 -1.308
Cd -0.896 -3.859 1.364
O 0.000 0.000 0.000

Entry 12:
10
Lattice="-3.338 -5.700 1.612 2.827 0.094 6.183 -3.773 2.686 1.684" Properties=species:S:1:pos:R:3 comment="La2TaRu2 PBE relaxed" delta_e_f_ev_per_atom=-0.04 pbc="T T T"
La -0.564 0.395 5.317
La -2.462 -0.479 2.459
La -1.822 -2.442 7.020
La -3.720 -3.316 4.163
Ru 1.229 -1.978 5.907
Ru 0.557 -0.758 2.457
Ru -1.740 -3.629 1.889
Ru -1.068 -4.849 5.339
Ta -0.256 -2.803 3.898
Ta 0.000 0.000 0.000

Number 1: density of states at the Fermi level 0.99 states/eV/atom, ρ 7.112 Mg/m³, uncorrected energy -6.654 eV per atom. Number 2: density of states at the Fermi level 0.63 states/eV/atom, ρ 9.299 Mg/m³, uncorrected energy -4.257 eV per atom. Number 3: density of states at the Fermi level 0.39 states/eV/atom, ρ 5.757 Mg/m³, uncorrected energy -2.416 eV per atom. Number 4: density of states at the Fermi level 0.44 states/eV/atom, ρ 3.378 Mg/m³, uncorrected energy -6.281 eV per atom. Number 5: density of states at the Fermi level 0.48 states/eV/atom, ρ 9.492 Mg/m³, uncorrected energy -2.414 eV per atom. Number 6: density of states at the Fermi level 0.36 states/eV/atom, ρ 7.347 Mg/m³, uncorrected energy -7.758 eV per atom. Number 7: density of states at the Fermi level 0.83 states/eV/atom, ρ 3.620 Mg/m³, uncorrected energy -2.799 eV per atom. Number 8: density of states at the Fermi level 0.65 states/eV/atom, ρ 4.840 Mg/m³, uncorrected energy -4.306 eV per atom. Number 9: density of states at the Fermi level 1.44 states/eV/atom, ρ 7.999 Mg/m³, uncorrected energy -5.770 eV per atom. Number 10: density of states at the Fermi level 1.80 states/eV/atom, ρ 7.776 Mg/m³, uncorrected energy -3.481 eV per atom. Number 11: density of states at the Fermi level 0.12 states/eV/atom, ρ 8.455 Mg/m³, uncorrected energy -2.326 eV per atom. Number 12: density of states at the Fermi level 1.12 states/eV/atom, ρ 9.634 Mg/m³, uncorrected energy -8.095 eV per atom.